# 1
The following is a DFT calculation (PBE-GGA) of a relaxed structure of MnGaI3.

Values from the calculation:
* symmetry: Pm-3m
* raw formation energy: -10.2 kJ/mol of atoms
* total energy: -3.47 eV per atom

a b c (Å): 5.365 5.365 5.365
angles (deg): 90.00 90.00 90.00
Fractional positions:
Mn 0.000 0.000 0.000
Ga 0.500 0.500 0.500
I 0.000 0.000 0.500
I 0.000 0.500 0.000
I 0.500 0.000 0.000

***

# 2
The following is a DFT calculation (PBE-GGA) of a relaxed structure of CsCdGa2Pd.

Values from the calculation:
* symmetry: P4/mmm
* E_form: -153 meV per atom
* total energy: -2.76 eV per atom

a b c (Å): 5.023 5.023 5.447
angles (deg): 90.00 90.00 90.00
Fractional positions:
Cs 0.000 0.000 0.000
Cd 0.500 0.500 0.000
Ga 0.000 0.500 0.500
Ga 0.500 0.000 0.500
Pd 0.500 0.500 0.500

***

# 3
The following is a DFT calculation (PBE-GGA) of a relaxed structure of AcIn3Ru.

Values from the calculation:
* symmetry: Pm-3m
* E_form: -194 meV per atom
* total energy: -4.51 eV per atom

a b c (Å): 5.162 5.162 5.162
angles (deg): 90.00 90.00 90.00
Fractional positions:
Ac 0.000 0.000 0.000
In 0.000 0.500 0.500
In 0.500 0.000 0.500
In 0.500 0.500 0.000
Ru 0.500 0.500 0.500

***

# 4
The following is a DFT calculation (PBE-GGA) of a relaxed structure of MgFeIr.

Values from the calculation:
* symmetry: R-3m
* E_form: -124 meV per atom
* total energy: -6.43 eV per atom

a b c (Å): 12.265 12.265 12.265
angles (deg): 24.46 24.46 24.46
Fractional positions:
Mg 0.041 0.041 0.041
Mg 0.182 0.182 0.182
Mg 0.263 0.263 0.263
Mg 0.737 0.737 0.737
Mg 0.818 0.818 0.818
Mg 0.959 0.959 0.959
Fe 0.000 0.500 0.500
Fe 0.388 0.388 0.388
Fe 0.500 0.000 0.500
Fe 0.500 0.500 0.000
Fe 0.500 0.500 0.500
Fe 0.612 0.612 0.612
Ir 0.215 0.726 0.726
Ir 0.274 0.274 0.785
Ir 0.274 0.785 0.274
Ir 0.726 0.215 0.726
Ir 0.726 0.726 0.215
Ir 0.785 0.274 0.274